#one
! PrCdMo GGA-PBE relaxed; values from VASP
! Crystal system: cubic
! Volume in Å³ per atom: 27.919
&SYSTEM
  ibrav = 0, nat = 3, ntyp = 3
/
ATOMIC_SPECIES
Mo 95.94 Mo.upf
Cd 112.41 Cd.upf
Pr 140.91 Pr.upf
CELL_PARAMETERS angstrom
0.000 3.473 3.473
3.473 0.000 3.473
3.473 3.473 0.000
ATOMIC_POSITIONS crystal
Mo 0.750 0.750 0.750
Cd 0.250 0.250 0.250
Pr 0.000 0.000 0.000

***

#two
! PrCdMo GGA-PBE relaxed; values from VASP
! Crystal system: cubic
! Volume in Å³ per atom: 27.724
&SYSTEM
  ibrav = 0, nat = 3, ntyp = 3
/
ATOMIC_SPECIES
Cd 112.41 Cd.upf
Pr 140.91 Pr.upf
Mo 95.94 Mo.upf
CELL_PARAMETERS angstrom
0.000 3.465 3.465
3.465 0.000 3.465
3.465 3.465 0.000
ATOMIC_POSITIONS crystal
Cd 0.250 0.250 0.250
Pr 0.750 0.750 0.750
Mo 0.000 0.000 0.000

***

Result of the stability comparison: #one is the least stable of them.

***

#one
! PuCdMo GGA-PBE relaxed; values from VASP
! Crystal system: cubic
! Volume in Å³ per atom: 23.248
&SYSTEM
  ibrav = 0, nat = 3, ntyp = 3
/
ATOMIC_SPECIES
Mo 95.94 Mo.upf
Pu 244.00 Pu.upf
Cd 112.41 Cd.upf
CELL_PARAMETERS angstrom
3.000 -3.365 1.012
-0.610 -2.576 3.787
-1.271 -4.424 -0.396
ATOMIC_POSITIONS crystal
Mo 0.000 0.000 0.000
Pu 0.750 0.750 0.750
Cd 0.250 0.250 0.250

***

#two
! PuCdMo GGA-PBE relaxed; values from VASP
! Crystal system: cubic
! Volume in Å³ per atom: 22.662
&SYSTEM
  ibrav = 0, nat = 3, ntyp = 3
/
ATOMIC_SPECIES
Cd 112.41 Cd.upf
Pu 244.00 Pu.upf
Mo 95.94 Mo.upf
CELL_PARAMETERS angstrom
0.000 3.239 3.239
3.239 0.000 3.239
3.239 3.239 0.000
ATOMIC_POSITIONS crystal
Cd 0.500 0.500 0.500
Pu 0.250 0.250 0.250
Mo 0.000 0.000 0.000

***

Result of the stability comparison: #two is the least stable of them.

***

#one
! SmCdMo GGA-PBE relaxed; values from VASP
! Crystal system: cubic
! Volume in Å³ per atom: 27.990
&SYSTEM
  ibrav = 0, nat = 3, ntyp = 3
/
ATOMIC_SPECIES
Mo 95.94 Mo.upf
Cd 112.41 Cd.upf
Sm 150.36 Sm.upf
CELL_PARAMETERS angstrom
-0.703 -4.800 0.791
-3.657 -1.500 2.922
-3.916 -2.261 -1.927
ATOMIC_POSITIONS crystal
Mo 0.750 0.750 0.750
Cd 0.250 0.250 0.250
Sm 0.000 0.000 0.000

***

#two
! SmCdMo GGA-PBE relaxed; values from VASP
! Crystal system: cubic
! Volume in Å³ per atom: 26.741
&SYSTEM
  ibrav = 0, nat = 3, ntyp = 3
/
ATOMIC_SPECIES
Sm 150.36 Sm.upf
Cd 112.41 Cd.upf
Mo 95.94 Mo.upf
CELL_PARAMETERS angstrom
0.000 3.423 3.423
3.423 0.000 3.423
3.423 3.423 0.000
ATOMIC_POSITIONS crystal
Sm 0.750 0.750 0.750
Cd 0.250 0.250 0.250
Mo 0.000 0.000 0.000

***

Result of the stability comparison: #one is the least stable of them.

***

#one
! CdN GGA-PBE relaxed; values from VASP
! Crystal system: orthorhombic
! Volume in Å³ per atom: 14.979
&SYSTEM
  ibrav = 0, nat = 8, ntyp = 2
/
ATOMIC_SPECIES
N 14.01 N.upf
Cd 112.41 Cd.upf
CELL_PARAMETERS angstrom
6.027 0.000 0.000
0.000 3.359 0.000
0.000 0.000 5.920
ATOMIC_POSITIONS crystal
N 0.250 0.500 0.773
Cd 0.250 0.000 0.003
N 0.750 0.500 0.227
Cd 0.500 0.500 0.500
N 0.750 0.000 0.641
N 0.250 0.000 0.359
Cd 0.000 0.500 0.500
Cd 0.750 0.000 0.997

***

#two
! CdN GGA-PBE relaxed; values from VASP
! Crystal system: hexagonal
! Volume in Å³ per atom: 16.269
&SYSTEM
  ibrav = 0, nat = 4, ntyp = 2
/
ATOMIC_SPECIES
N 14.01 N.upf
Cd 112.41 Cd.upf
CELL_PARAMETERS angstrom
3.554 0.000 0.000
-1.777 3.078 0.000
0.000 0.000 5.949
ATOMIC_POSITIONS crystal
N 0.667 0.333 0.873
Cd 0.667 0.333 0.506
N 0.333 0.667 0.373
Cd 0.333 0.667 0.006

***

#three
! CdN GGA-PBE relaxed; values from VASP
! Crystal system: trigonal
! Volume in Å³ per atom: 13.199
&SYSTEM
  ibrav = 0, nat = 2, ntyp = 2
/
ATOMIC_SPECIES
N 14.01 N.upf
Cd 112.41 Cd.upf
CELL_PARAMETERS angstrom
-2.711 -1.651 1.075
-2.155 1.470 2.104
-3.054 0.891 -1.053
ATOMIC_POSITIONS crystal
N 0.500 0.500 0.500
Cd 0.000 0.000 0.000

***

#four
! CdN GGA-PBE relaxed; values from VASP
! Crystal system: cubic
! Volume in Å³ per atom: 12.785
&SYSTEM
  ibrav = 0, nat = 2, ntyp = 2
/
ATOMIC_SPECIES
Cd 112.41 Cd.upf
N 14.01 N.upf
CELL_PARAMETERS angstrom
-0.350 -2.925 -0.033
2.761 -0.319 -0.977
0.966 -0.147 2.779
ATOMIC_POSITIONS crystal
Cd 0.000 0.000 0.000
N 0.500 0.500 0.500

***

Result of the stability comparison: #four is the least stable of them.

***

#one
! CdN2 GGA-PBE relaxed; values from VASP
! Crystal system: cubic
! Volume in Å³ per atom: 12.475
&SYSTEM
  ibrav = 0, nat = 3, ntyp = 2
/
ATOMIC_SPECIES
N 14.01 N.upf
Cd 112.41 Cd.upf
CELL_PARAMETERS angstrom
-1.117 -2.444 2.622
-2.654 0.978 2.469
-3.416 -1.543 -0.206
ATOMIC_POSITIONS crystal
N 0.750 0.750 0.750
N 0.250 0.250 0.250
Cd 0.000 0.000 0.000

***

#two
! CdN2 GGA-PBE relaxed; values from VASP
! Crystal system: cubic
! Volume in Å³ per atom: 11.080
&SYSTEM
  ibrav = 0, nat = 6, ntyp = 2
/
ATOMIC_SPECIES
N 14.01 N.upf
Cd 112.41 Cd.upf
CELL_PARAMETERS angstrom
1.532 -4.238 -0.607
-2.275 -2.877 -2.687
1.751 -1.232 -4.011
ATOMIC_POSITIONS crystal
N 0.625 0.625 0.625
Cd 0.250 0.250 0.250
N 0.125 0.625 0.625
N 0.625 0.625 0.125
Cd 0.000 0.000 0.000
N 0.625 0.125 0.625

***

#three
! CdN2 GGA-PBE relaxed; values from VASP
! Crystal system: tetragonal
! Volume in Å³ per atom: 13.105
&SYSTEM
  ibrav = 0, nat = 3, ntyp = 2
/
ATOMIC_SPECIES
Cd 112.41 Cd.upf
N 14.01 N.upf
CELL_PARAMETERS angstrom
-1.512 -3.671 -1.622
-1.842 -2.559 2.908
-0.385 4.142 -1.045
ATOMIC_POSITIONS crystal
Cd 0.000 0.000 0.000
N 0.592 0.592 0.000
N 0.408 0.408 0.000

***

Result of the stability comparison: #two is the least stable of them.

***

#one
! NaCdNO GGA-PBE relaxed; values from VASP
! Crystal system: orthorhombic
! Volume in Å³ per atom: 13.535
&SYSTEM
  ibrav = 0, nat = 8, ntyp = 4
/
ATOMIC_SPECIES
Na 22.99 Na.upf
N 14.01 N.upf
O 16.00 O.upf
Cd 112.41 Cd.upf
CELL_PARAMETERS angstrom
2.553 3.358 -1.238
-2.792 2.341 0.591
2.008 0.802 6.314
ATOMIC_POSITIONS crystal
Na 0.000 0.439 0.184
N 0.000 0.938 0.446
O 0.500 0.938 0.837
O 0.500 0.438 0.163
Cd 0.500 0.439 0.684
N 0.000 0.438 0.554
Cd 0.500 0.939 0.316
Na 0.000 0.939 0.816

***

#two
! NaCdNO GGA-PBE relaxed; values from VASP
! Crystal system: orthorhombic
! Volume in Å³ per atom: 16.742
&SYSTEM
  ibrav = 0, nat = 8, ntyp = 4
/
ATOMIC_SPECIES
Cd 112.41 Cd.upf
Na 22.99 Na.upf
O 16.00 O.upf
N 14.01 N.upf
CELL_PARAMETERS angstrom
-1.731 -2.998 0.000
0.000 0.000 5.959
-5.622 3.246 0.000
ATOMIC_POSITIONS crystal
Cd 0.000 0.999 0.662
Na 0.500 0.013 0.152
O 0.500 0.889 0.829
Na 0.500 0.513 0.848
Cd 0.000 0.499 0.338
N 0.000 0.853 0.363
N 0.000 0.353 0.637
O 0.500 0.389 0.171

***

Result of the stability comparison: #two is the least stable of them.

***

#one
! NaCdNO GGA-PBE relaxed; values from VASP
! Crystal system: orthorhombic
! Volume in Å³ per atom: 12.790
&SYSTEM
  ibrav = 0, nat = 16, ntyp = 4
/
ATOMIC_SPECIES
Na 22.99 Na.upf
Cd 112.41 Cd.upf
O 16.00 O.upf
N 14.01 N.upf
CELL_PARAMETERS angstrom
-1.474 1.247 4.358
7.619 -3.594 3.606
2.162 4.132 -0.451
ATOMIC_POSITIONS crystal
Na 0.502 0.389 0.046
Cd 0.502 0.864 0.054
Na 0.498 0.611 0.546
Na 0.002 0.611 0.046
O 0.498 0.359 0.546
Cd 0.998 0.864 0.554
O 0.002 0.359 0.046
N 0.498 0.899 0.556
N 0.998 0.101 0.556
Na 0.998 0.389 0.546
Cd 0.498 0.136 0.554
O 0.998 0.641 0.546
O 0.502 0.641 0.046
N 0.502 0.101 0.056
N 0.002 0.899 0.056
Cd 0.002 0.136 0.054

***

#two
! NaCdNO GGA-PBE relaxed; values from VASP
! Crystal system: tetragonal
! Volume in Å³ per atom: 12.627
&SYSTEM
  ibrav = 0, nat = 8, ntyp = 4
/
ATOMIC_SPECIES
Cd 112.41 Cd.upf
O 16.00 O.upf
Na 22.99 Na.upf
N 14.01 N.upf
CELL_PARAMETERS angstrom
-2.339 2.417 -3.252
-2.981 -3.569 -0.509
-2.707 1.793 3.280
ATOMIC_POSITIONS crystal
Cd 0.000 0.500 0.001
O 0.000 0.000 0.000
Cd 0.500 0.000 0.999
Na 0.500 0.500 0.500
Na 0.000 0.000 0.500
N 0.500 0.000 0.500
N 0.000 0.500 0.500
O 0.500 0.500 0.000

***

Result of the stability comparison: #two is the least stable of them.

***

#one
! NaCdNO GGA-PBE relaxed; values from VASP
! Crystal system: orthorhombic
! Volume in Å³ per atom: 13.516
&SYSTEM
  ibrav = 0, nat = 16, ntyp = 4
/
ATOMIC_SPECIES
O 16.00 O.upf
Cd 112.41 Cd.upf
Na 22.99 Na.upf
N 14.01 N.upf
CELL_PARAMETERS angstrom
-5.342 3.103 -2.220
-5.035 -5.148 4.921
0.253 2.472 2.845
ATOMIC_POSITIONS crystal
O 0.587 0.375 0.551
Cd 0.571 0.630 0.551
Na 0.940 0.124 0.053
Na 0.440 0.876 0.053
O 0.087 0.625 0.551
O 0.913 0.375 0.051
N 0.805 0.875 0.047
Cd 0.071 0.370 0.551
N 0.305 0.125 0.047
N 0.695 0.875 0.547
O 0.413 0.625 0.051
Na 0.560 0.124 0.553
Cd 0.429 0.370 0.051
Na 0.060 0.876 0.553
Cd 0.929 0.630 0.051
N 0.195 0.125 0.547

***

#two
! NaCdNO GGA-PBE relaxed; values from VASP
! Crystal system: tetragonal
! Volume in Å³ per atom: 12.443
&SYSTEM
  ibrav = 0, nat = 8, ntyp = 4
/
ATOMIC_SPECIES
N 14.01 N.upf
Cd 112.41 Cd.upf
Na 22.99 Na.upf
O 16.00 O.upf
CELL_PARAMETERS angstrom
4.617 0.000 0.000
0.000 4.617 0.000
0.000 0.000 4.671
ATOMIC_POSITIONS crystal
N 0.000 0.500 0.498
Cd 0.000 0.000 0.500
Cd 0.500 0.500 0.500
Na 0.500 0.000 0.001
Na 0.000 0.500 0.999
O 0.000 0.000 0.000
N 0.500 0.000 0.502
O 0.500 0.500 0.000

***

#three
! NaCdNO GGA-PBE relaxed; values from VASP
! Crystal system: tetragonal
! Volume in Å³ per atom: 12.672
&SYSTEM
  ibrav = 0, nat = 8, ntyp = 4
/
ATOMIC_SPECIES
Na 22.99 Na.upf
N 14.01 N.upf
Cd 112.41 Cd.upf
O 16.00 O.upf
CELL_PARAMETERS angstrom
1.265 4.136 -1.881
-2.520 -0.986 -3.862
-3.654 1.972 1.880
ATOMIC_POSITIONS crystal
Na 0.750 0.250 0.000
N 0.750 0.750 0.000
Cd 0.750 0.750 0.500
N 0.250 0.250 0.000
Cd 0.250 0.250 0.500
O 0.750 0.250 0.500
O 0.250 0.750 0.500
Na 0.250 0.750 0.000

***

Result of the stability comparison: #three is the least stable of them.

***

#one
! CdOsNO GGA-PBE relaxed; values from VASP
! Crystal system: orthorhombic
! Volume in Å³ per atom: 14.663
&SYSTEM
  ibrav = 0, nat = 8, ntyp = 4
/
ATOMIC_SPECIES
N 14.01 N.upf
O 16.00 O.upf
Os 190.23 Os.upf
Cd 112.41 Cd.upf
CELL_PARAMETERS angstrom
-1.470 -2.545 0.000
0.000 0.000 7.103
-4.866 2.810 0.000
ATOMIC_POSITIONS crystal
N 0.000 0.252 0.574
O 0.500 0.928 0.789
Os 0.000 0.493 0.452
Os 0.000 0.993 0.548
Cd 0.500 0.581 0.862
N 0.000 0.752 0.426
Cd 0.500 0.081 0.138
O 0.500 0.428 0.211

***

#two
! CdOsNO GGA-PBE relaxed; values from VASP
! Crystal system: tetragonal
! Volume in Å³ per atom: 13.459
&SYSTEM
  ibrav = 0, nat = 8, ntyp = 4
/
ATOMIC_SPECIES
Os 190.23 Os.upf
N 14.01 N.upf
O 16.00 O.upf
Cd 112.41 Cd.upf
CELL_PARAMETERS angstrom
2.703 -2.703 0.000
2.703 2.703 0.000
0.000 0.000 7.369
ATOMIC_POSITIONS crystal
Os 0.750 0.250 0.500
N 0.250 0.250 0.617
Os 0.250 0.750 0.500
O 0.250 0.750 0.000
N 0.750 0.750 0.383
Cd 0.750 0.750 0.851
O 0.750 0.250 0.000
Cd 0.250 0.250 0.149

***

#three
! CdOsNO GGA-PBE relaxed; values from VASP
! Crystal system: orthorhombic
! Volume in Å³ per atom: 13.479
&SYSTEM
  ibrav = 0, nat = 16, ntyp = 4
/
ATOMIC_SPECIES
Cd 112.41 Cd.upf
N 14.01 N.upf
O 16.00 O.upf
Os 190.23 Os.upf
CELL_PARAMETERS angstrom
5.613 0.000 0.000
0.000 7.833 0.000
0.000 0.000 4.905
ATOMIC_POSITIONS crystal
Cd 0.968 0.859 0.490
N 0.558 0.846 0.480
O 0.371 0.493 0.210
O 0.629 0.507 0.710
Cd 0.532 0.859 0.990
N 0.442 0.154 0.980
Os 0.128 0.656 0.022
O 0.129 0.493 0.710
N 0.058 0.154 0.480
Os 0.628 0.344 0.022
Os 0.872 0.344 0.522
O 0.871 0.507 0.210
Cd 0.032 0.141 0.990
Os 0.372 0.656 0.522
N 0.942 0.846 0.980
Cd 0.468 0.141 0.490

***

Result of the stability comparison: #two is the least stable of them.

***

#one
! CdOsNO GGA-PBE relaxed; values from VASP
! Crystal system: orthorhombic
! Volume in Å³ per atom: 12.874
&SYSTEM
  ibrav = 0, nat = 16, ntyp = 4
/
ATOMIC_SPECIES
Os 190.23 Os.upf
Cd 112.41 Cd.upf
N 14.01 N.upf
O 16.00 O.upf
CELL_PARAMETERS angstrom
-4.460 2.312 1.825
-4.204 -4.403 -4.694
-0.343 -3.491 3.582
ATOMIC_POSITIONS crystal
Os 0.017 0.068 0.015
Cd 0.021 0.622 0.989
N 0.356 0.142 0.154
Cd 0.479 0.622 0.489
Os 0.983 0.932 0.515
O 0.434 0.665 0.045
O 0.566 0.335 0.545
Cd 0.979 0.378 0.489
N 0.856 0.858 0.154
Cd 0.521 0.378 0.989
Os 0.517 0.932 0.015
Os 0.483 0.068 0.515
N 0.644 0.858 0.654
O 0.934 0.335 0.045
O 0.066 0.665 0.545
N 0.144 0.142 0.654

***

#two
! CdOsNO GGA-PBE relaxed; values from VASP
! Crystal system: tetragonal
! Volume in Å³ per atom: 12.053
&SYSTEM
  ibrav = 0, nat = 8, ntyp = 4
/
ATOMIC_SPECIES
O 16.00 O.upf
Cd 112.41 Cd.upf
N 14.01 N.upf
Os 190.23 Os.upf
CELL_PARAMETERS angstrom
3.621 0.000 0.000
0.000 3.621 0.000
0.000 0.000 7.355
ATOMIC_POSITIONS crystal
O 0.000 0.000 0.000
Cd 0.000 0.000 0.500
N 0.000 0.500 0.726
Os 0.000 0.500 0.156
N 0.500 0.000 0.274
Os 0.500 0.000 0.844
Cd 0.500 0.500 0.500
O 0.500 0.500 0.000

***

Result of the stability comparison: #two is the least stable of them.